Material: YBeBBr2
Method: DFT, PBE-GGA
State: relaxed

Cell: 4.4581 5.7815 4.4581 Å, 90.00 90.00 90.00°
Last column: nearest neighbours and their distance in Å.
Fractional positions:
Y (0.0000, 0.5000, 0.0000)  2 Be 2.89, 4 B 3.15
B (0.5000, 0.5000, 0.5000)  4 Y 3.15
Be (0.0000, 0.0000, 0.0000)  4 Br 2.23
Br (0.5000, 0.0000, 0.0000)  2 Be 2.23
Br (0.0000, 0.0000, 0.5000)  2 Be 2.23

- magnetization (μB/atom) = 0.000
- density of states at the Fermi level (states/eV/f.u.) = 4.0
- formation energy (no corrections) (meV/atom) = 691
- calculated density (g/cm³) = 3.88